# PBE CaYIO2, optimized geometry
data_CaYIO2
_chemical_formula_sum 'Ca1 Y1 I1 O2'
_space_group_name_H-M_alt 'P 1'
_space_group_IT_number 1
_space_group_name_Hall 'P 1'
_cell_length_a 4.458
_cell_length_b 4.458
_cell_length_c 5.515
_cell_angle_alpha 90.00
_cell_angle_beta 90.00
_cell_angle_gamma 90.00
loop_
_atom_site_label
_atom_site_type_symbol
_atom_site_fract_x
_atom_site_fract_y
_atom_site_fract_z
_atom_site_occupancy
Ca1 Ca 0.000 0.000 0.000 1
Y1 Y 0.500 0.500 0.500 1
I1 I 0.000 0.000 0.500 1
O1 O 0.000 0.500 0.000 1
O2 O 0.500 0.000 0.000 1
# - Calculated density: 4361 kg/m³
# - Uncorrected formation energy: -1.12 eV per atom
# - Energy above the most stable polymorph in this dataset: 743 meV per atom
# - Electronic total energy: -5.11 eV per atom
# - Volume: 21.9 Å³ per atom